No. 1
The following is a DFT calculation (PBE) of a relaxed structure of HgSbPb2.

Cell: 3.474 3.474 9.791 Å, 90.00 90.00 99.71°
Sites, in units of the cell vectors:
Pb1 0.000 0.000 0.994
Pb2 0.000 0.000 0.506
Sb1 0.500 0.500 0.250
Hg1 0.500 0.500 0.750

ΔE to the lowest computed polymorph	50	meV/atom
SG	Cmmm (65)
calculated density	10.50	Mg/m³
formation energy from raw total energies	0.070	eV/atom

=====

No. 2
The following is a DFT calculation (PBE) of a relaxed structure of Hg3Sb5Pb12.

Cell: 15.665 15.665 15.665 Å, 109.47 109.47 109.47°
Sites, in units of the cell vectors:
Hg1 0.750 0.375 0.125
Hg2 0.875 0.750 0.125
Hg3 0.375 0.750 0.625
Hg4 0.250 0.125 0.375
Hg5 0.875 0.125 0.250
Hg6 0.375 0.625 0.250
Hg7 0.625 0.375 0.750
Hg8 0.125 0.875 0.750
Hg9 0.750 0.875 0.625
Hg10 0.625 0.250 0.375
Hg11 0.125 0.250 0.875
Hg12 0.250 0.625 0.875
Sb1 0.125 0.375 0.250
Sb2 0.000 0.500 0.000
Sb3 0.000 0.000 0.000
Sb4 0.375 0.250 0.125
Sb5 0.500 0.000 0.500
Sb6 0.500 0.500 0.000
Sb7 0.125 0.750 0.375
Sb8 0.750 0.125 0.875
Sb9 0.750 0.625 0.375
Sb10 0.375 0.125 0.750
Sb11 0.625 0.875 0.250
Sb12 0.500 0.500 0.500
Sb13 0.500 0.000 0.000
Sb14 0.000 0.000 0.500
Sb15 0.250 0.375 0.625
Sb16 0.250 0.875 0.125
Sb17 0.000 0.500 0.500
Sb18 0.875 0.250 0.625
Sb19 0.625 0.750 0.875
Sb20 0.875 0.625 0.750
Pb1 0.736 0.128 0.063
Pb2 0.327 0.563 0.435
Pb3 0.937 0.372 0.264
Pb4 0.563 0.236 0.128
Pb5 0.608 0.736 0.673
Pb6 0.937 0.565 0.173
Pb7 0.327 0.764 0.392
Pb8 0.065 0.892 0.128
Pb9 0.565 0.937 0.673
Pb10 0.736 0.608 0.173
Pb11 0.764 0.437 0.372
Pb12 0.827 0.935 0.063
Pb13 0.128 0.736 0.563
Pb14 0.372 0.435 0.108
Pb15 0.108 0.935 0.372
Pb16 0.392 0.128 0.565
Pb17 0.108 0.173 0.236
Pb18 0.437 0.673 0.065
Pb19 0.827 0.892 0.264
Pb20 0.128 0.392 0.065
Pb21 0.372 0.937 0.764
Pb22 0.565 0.628 0.392
Pb23 0.935 0.827 0.563
Pb24 0.764 0.327 0.892
Pb25 0.435 0.372 0.608
Pb26 0.065 0.173 0.437
Pb27 0.236 0.673 0.108
Pb28 0.173 0.108 0.736
Pb29 0.628 0.063 0.236
Pb30 0.872 0.608 0.935
Pb31 0.563 0.327 0.935
Pb32 0.608 0.872 0.435
Pb33 0.892 0.827 0.764
Pb34 0.892 0.065 0.628
Pb35 0.872 0.264 0.437
Pb36 0.173 0.065 0.937
Pb37 0.628 0.565 0.892
Pb38 0.435 0.063 0.327
Pb39 0.264 0.392 0.827
Pb40 0.236 0.563 0.628
Pb41 0.935 0.108 0.872
Pb42 0.673 0.236 0.608
Pb43 0.437 0.764 0.872
Pb44 0.063 0.435 0.827
Pb45 0.392 0.264 0.327
Pb46 0.063 0.628 0.736
Pb47 0.673 0.437 0.565
Pb48 0.264 0.872 0.937

SG	Ia-3d (230)
calculated density	8.30	Mg/m³
formation energy from raw total energies	0.154	eV/atom